Below is a geometry-optimized NaGa3C4O12 structure, with properties calculated at the PBE level.

Output
Total energy in eV per atom: -6.683
Crystal system: trigonal
E_form (uncorrected) in eV per atom: -1.343
Fermi-level density of states in states/eV/cell: 4.93
SG: R32 (155)

Lattice parameters (Å, degrees): 6.152 6.152 6.152 101.92 101.92 101.92
Sites, in units of the cell vectors:
Na (0.000, 0.000, 0.000)
Ga (0.000, 0.541, 0.459)
Ga (0.459, 0.000, 0.541)
Ga (0.541, 0.459, 0.000)
C (0.047, 0.500, 0.953)
C (0.500, 0.500, 0.500)
C (0.500, 0.953, 0.047)
C (0.953, 0.047, 0.500)
O (0.027, 0.621, 0.805)
O (0.091, 0.909, 0.500)
O (0.195, 0.379, 0.973)
O (0.362, 0.638, 0.500)
O (0.379, 0.973, 0.195)
O (0.500, 0.091, 0.909)
O (0.500, 0.362, 0.638)
O (0.621, 0.805, 0.027)
O (0.638, 0.500, 0.362)
O (0.805, 0.027, 0.621)
O (0.909, 0.500, 0.091)
O (0.973, 0.195, 0.379)